[1]
VASP calculation (GGA-PBE) on YSnPd2 after structural relaxation.

For the size of the total moment, the calculation gives 0.00 μB/cell. The calculation puts the total energy at -6.047 eV/atom.

The space group is Pnma (No. 62) and the conventional cell measures 7.490, 7.276 and 6.083 Å, with angles of 90.00, 90.00 and 90.00 degrees. The distinct sites, in fractional coordinates, are Y at (0.029, 0.250, 0.168), Sn at (0.111, 0.750, 0.333) and Pd at (0.191, 0.050, 0.564).



[2]
VASP calculation (GGA-PBE) on TbTmHg after structural relaxation.

For the size of the total moment, the calculation gives 0.01 μB/cell. For the energy relative to the lowest polymorph listed for this composition, the calculation gives 0 kJ/mol of formula units. Its energy of formation from the pure elements is -0.36 eV/atom. The calculation puts the total energy at -3.497 eV/atom.

The space group is Pnma (No. 62) and the conventional cell measures 7.099, 5.036 and 9.140 Å, with angles of 90.00, 90.00 and 90.00 degrees. The distinct sites, in fractional coordinates, are Tb at (0.016, 0.250, 0.192), Tm at (0.166, 0.250, 0.574) and Hg at (0.242, 0.250, 0.898).



[3]
VASP calculation (GGA-PBE) on Ta2Nb4As3N3 after structural relaxation.

For the size of the total moment, the calculation gives 0.00 μB/cell. The calculation puts the total energy at -9.262 eV/atom.

The space group is C2/c (No. 15) and the conventional cell measures 9.941, 5.736 and 12.468 Å, with angles of 90.00, 105.23 and 90.00 degrees. The distinct sites, in fractional coordinates, are Ta at (0.063, 0.089, 0.411), Nb at (0.115, 0.432, 0.593), Nb at (0.212, 0.408, 0.907), As at (0.000, 0.415, 0.250), As at (0.166, 0.082, 0.749), N at (0.077, 0.233, 0.000) and N at (0.250, 0.250, 0.500).